# 1
DFT (PBE-GGA) results for a geometry-optimized Cs4Au3Cl12 structure.

Summary:
**VASP energy**: -2.90 eV per atom

abc: 10.3525 10.3525 10.3525
angles: 109.47 109.47 109.47
With the nearest neighbours (Å) after each atom.
Positions (direct):
Cs 0.0000 0.0000 0.5000  6 Cl 3.52
Cs 0.0000 0.5000 0.0000  6 Cl 3.52
Cs 0.5000 0.0000 0.0000  6 Cl 3.52
Cs 0.5000 0.5000 0.5000  6 Cl 3.52
Au 0.0000 0.5000 0.5000  4 Cl 2.36
Au 0.5000 0.0000 0.5000  4 Cl 2.36
Au 0.5000 0.5000 0.0000  4 Cl 2.36
Cl 0.1395 0.4994 0.3599  1 Au 2.36
Cl 0.1395 0.7796 0.6401  1 Au 2.36
Cl 0.2204 0.3599 0.8605  1 Au 2.36
Cl 0.3599 0.1395 0.4994  1 Au 2.36
Cl 0.3599 0.8605 0.2204  1 Au 2.36
Cl 0.4994 0.3599 0.1395  1 Au 2.36
Cl 0.5006 0.6401 0.8605  1 Au 2.36
Cl 0.6401 0.1395 0.7796  1 Au 2.36
Cl 0.6401 0.8605 0.5006  1 Au 2.36
Cl 0.7796 0.6401 0.1395  1 Au 2.36
Cl 0.8605 0.2204 0.3599  1 Au 2.36
Cl 0.8605 0.5006 0.6401  1 Au 2.36

***

# 2
DFT (PBE-GGA) results for a geometry-optimized CsAuCl2 structure.

Summary:
**VASP energy**: -3.10 eV per atom

abc: 5.6859 5.6859 14.4672
angles: 90.00 90.00 120.00
With the nearest neighbours (Å) after each atom.
Positions (direct):
Cs 0.0000 0.0000 0.0000  6 Cl 3.54
Cs 0.0000 0.0000 0.5000  6 Cl 3.54
Au 0.3333 0.6667 0.2500  2 Cl 2.29
Au 0.6667 0.3333 0.7500  2 Cl 2.29
Cl 0.3333 0.6667 0.0917  1 Au 2.29
Cl 0.3333 0.6667 0.4083  1 Au 2.29
Cl 0.6667 0.3333 0.5917  1 Au 2.29
Cl 0.6667 0.3333 0.9083  1 Au 2.29

***

# 3
DFT (PBE-GGA) results for a geometry-optimized Cs12Au3Cl5 structure.

Summary:
**VASP energy**: -2.46 eV per atom

abc: 18.3362 18.3362 18.3362
angles: 109.47 109.47 109.47
With the nearest neighbours (Å) after each atom.
Positions (direct):
Cs 0.0419 0.2151 0.1315  2 Cl 3.30-3.52
Cs 0.0419 0.3268 0.9104  2 Cl 3.30-3.52
Cs 0.0836 0.7151 0.6732  2 Cl 3.30-3.52
Cs 0.0836 0.8685 0.4104  2 Cl 3.30-3.52
Cs 0.0896 0.6315 0.4164  2 Cl 3.30-3.52
Cs 0.0896 0.9581 0.6732  2 Cl 3.30-3.52
Cs 0.1315 0.0419 0.2151  2 Cl 3.30-3.52
Cs 0.1315 0.5896 0.9164  2 Cl 3.30-3.52
Cs 0.1732 0.2151 0.5836  2 Cl 3.30-3.52
Cs 0.1732 0.4581 0.5896  2 Cl 3.30-3.52
Cs 0.2151 0.1315 0.0419  2 Cl 3.30-3.52
Cs 0.2151 0.5836 0.1732  2 Cl 3.30-3.52
Cs 0.2849 0.3268 0.9164  2 Cl 3.30-3.52
Cs 0.2849 0.4581 0.3685  2 Cl 3.30-3.52
Cs 0.3268 0.9104 0.0419  2 Cl 3.30-3.52
Cs 0.3268 0.9164 0.2849  2 Cl 3.30-3.52
Cs 0.3685 0.2849 0.4581  2 Cl 3.30-3.52
Cs 0.3685 0.5836 0.9104  2 Cl 3.30-3.52
Cs 0.4104 0.0836 0.8685  2 Cl 3.30-3.52
Cs 0.4104 0.8268 0.5419  2 Cl 3.30-3.52
Cs 0.4164 0.0896 0.6315  2 Cl 3.30-3.52
Cs 0.4164 0.8268 0.7849  2 Cl 3.30-3.52
Cs 0.4581 0.3685 0.2849  2 Cl 3.30-3.52
Cs 0.4581 0.5896 0.1732  2 Cl 3.30-3.52
Cs 0.5419 0.4104 0.8268  2 Cl 3.30-3.52
Cs 0.5419 0.6315 0.7151  2 Cl 3.30-3.52
Cs 0.5836 0.1732 0.2151  2 Cl 3.30-3.52
Cs 0.5836 0.9104 0.3685  2 Cl 3.30-3.52
Cs 0.5896 0.1732 0.4581  2 Cl 3.30-3.52
Cs 0.5896 0.9164 0.1315  2 Cl 3.30-3.52
Cs 0.6315 0.4164 0.0896  2 Cl 3.30-3.52
Cs 0.6315 0.7151 0.5419  2 Cl 3.30-3.52
Cs 0.6732 0.0836 0.7151  2 Cl 3.30-3.52
Cs 0.6732 0.0896 0.9581  2 Cl 3.30-3.52
Cs 0.7151 0.5419 0.6315  2 Cl 3.30-3.52
Cs 0.7151 0.6732 0.0836  2 Cl 3.30-3.52
Cs 0.7849 0.4164 0.8268  2 Cl 3.30-3.52
Cs 0.7849 0.8685 0.9581  2 Cl 3.30-3.52
Cs 0.8268 0.5419 0.4104  2 Cl 3.30-3.52
Cs 0.8268 0.7849 0.4164  2 Cl 3.30-3.52
Cs 0.8685 0.4104 0.0836  2 Cl 3.30-3.52
Cs 0.8685 0.9581 0.7849  2 Cl 3.30-3.52
Cs 0.9104 0.0419 0.3268  2 Cl 3.30-3.52
Cs 0.9104 0.3685 0.5836  2 Cl 3.30-3.52
Cs 0.9164 0.1315 0.5896  2 Cl 3.30-3.52
Cs 0.9164 0.2849 0.3268  2 Cl 3.30-3.52
Cs 0.9581 0.6732 0.0896  2 Cl 3.30-3.52
Cs 0.9581 0.7849 0.8685  2 Cl 3.30-3.52
Au 0.1250 0.2500 0.3750  8 Cs 3.95-4.03
Au 0.1250 0.3750 0.7500  8 Cs 3.95-4.03
Au 0.2500 0.3750 0.1250  8 Cs 3.95-4.03
Au 0.2500 0.8750 0.6250  8 Cs 3.95-4.03
Au 0.3750 0.1250 0.2500  8 Cs 3.95-4.03
Au 0.3750 0.7500 0.1250  8 Cs 3.95-4.03
Au 0.6250 0.2500 0.8750  8 Cs 3.95-4.03
Au 0.6250 0.8750 0.7500  8 Cs 3.95-4.03
Au 0.7500 0.1250 0.3750  8 Cs 3.95-4.03
Au 0.7500 0.6250 0.8750  8 Cs 3.95-4.03
Au 0.8750 0.6250 0.2500  8 Cs 3.95-4.03
Au 0.8750 0.7500 0.6250  8 Cs 3.95-4.03
Cl 0.0000 0.0000 0.0000  6 Cs 3.52
Cl 0.0000 0.0000 0.5000  6 Cs 3.52
Cl 0.0000 0.5000 0.0000  6 Cs 3.52
Cl 0.0000 0.5000 0.5000  6 Cs 3.52
Cl 0.1250 0.7500 0.8750  4 Cs 3.30
Cl 0.1250 0.8750 0.2500  4 Cs 3.30
Cl 0.2500 0.1250 0.8750  4 Cs 3.30
Cl 0.2500 0.6250 0.3750  4 Cs 3.30
Cl 0.3750 0.2500 0.6250  4 Cs 3.30
Cl 0.3750 0.6250 0.7500  4 Cs 3.30
Cl 0.5000 0.0000 0.0000  6 Cs 3.52
Cl 0.5000 0.0000 0.5000  6 Cs 3.52
Cl 0.5000 0.5000 0.0000  6 Cs 3.52
Cl 0.5000 0.5000 0.5000  6 Cs 3.52
Cl 0.6250 0.3750 0.2500  4 Cs 3.30
Cl 0.6250 0.7500 0.3750  4 Cs 3.30
Cl 0.7500 0.3750 0.6250  4 Cs 3.30
Cl 0.7500 0.8750 0.1250  4 Cs 3.30
Cl 0.8750 0.1250 0.7500  4 Cs 3.30
Cl 0.8750 0.2500 0.1250  4 Cs 3.30

***

Q: VASP energy of number 3 (Cs12Au3Cl5)?
A: -2.46 eV per atom